ReCl3O2 | SCAN | PBEsol geometry

Geometry as POSCAR:
```
ReCl3O2
1.0
8.3759 0.0000 0.0000
0.0000 9.1968 0.0000
0.0000 0.0000 7.2162
Re Cl O
4 12 8
direct
0.2323 0.0602 0.0000
0.2677 0.5602 0.5000
0.7323 0.4398 0.5000
0.7677 0.9398 0.0000
0.0000 0.0000 0.2221
0.0000 0.0000 0.7779
0.1170 0.2825 0.0000
0.2388 0.3146 0.5000
0.2612 0.8146 0.0000
0.3830 0.7825 0.5000
0.5000 0.5000 0.2779
0.5000 0.5000 0.7221
0.6170 0.2175 0.5000
0.7388 0.1854 0.0000
0.7612 0.6854 0.5000
0.8830 0.7175 0.0000
0.1489 0.5894 0.3112
0.1489 0.5894 0.6888
0.3511 0.0894 0.1888
0.3511 0.0894 0.8112
0.6489 0.9106 0.1888
0.6489 0.9106 0.8112
0.8511 0.4106 0.3112
0.8511 0.4106 0.6888
```

Computed properties:
* final energy: -18.90 eV per atom

=====

LiLaCr2 | SCAN | PBEsol geometry

Geometry as POSCAR:
```
LiLaCr2
1.0
3.0355 0.0000 0.0000
0.0000 3.0360 0.0000
-0.0045 0.0000 7.9372
Li La Cr
1 1 2
direct
0.0000 0.0000 0.0000
0.5021 0.5000 0.6487
0.0007 0.0000 0.3557
0.5000 0.5000 0.2307
```

Computed properties:
* DFT formation energy: 286 meV per atom